This record from the Alexandria database describes a geometry-optimized CsRb2O structure. The functional is PBE. Values from VASP.

Calculated values
Fermi-level density of states: 4.4 states/eV per cell
Final energy: -2.52 eV/atom
ΔE_f (raw): -584 meV per atom
Calculated volume: 221 Å³/cell
Magnetization: 0.1 μB per cell

```
&SYSTEM
  ibrav = 0, nat = 4, ntyp = 3
/
ATOMIC_SPECIES
Cs 132.91 Cs.upf
Rb 85.47 Rb.upf
O 16.00 O.upf
ATOMIC_POSITIONS crystal
Cs 0.000 0.000 0.000
Rb 0.134 0.134 0.134
Rb 0.866 0.866 0.866
O 0.500 0.500 0.500
CELL_PARAMETERS angstrom
2.247 1.297 12.624
-2.247 1.297 12.624
0.000 -2.594 12.624
```

This record from the Alexandria database describes a geometry-optimized CeSmGaOs structure. The functional is PBE. Values from VASP.

Calculated values
Fermi-level density of states: 4.4 states/eV per cell
Calculated formation energy: -0.236 eV per atom
Final energy: -6.46 eV/atom
Calculated volume: 90 Å³/cell
Magnetization: 0.2 μB per cell
Offset from the most stable computed form: 0.1546 eV/atom

```
&SYSTEM
  ibrav = 0, nat = 4, ntyp = 4
/
ATOMIC_SPECIES
Ce 140.12 Ce.upf
Sm 150.36 Sm.upf
Ga 69.72 Ga.upf
Os 190.23 Os.upf
ATOMIC_POSITIONS crystal
Ce 0.000 0.000 0.000
Sm 0.500 0.500 0.500
Ga 0.750 0.750 0.750
Os 0.250 0.250 0.250
CELL_PARAMETERS angstrom
0.000 3.551 3.551
3.551 0.000 3.551
3.551 3.551 0.000
```

This record from the Alexandria database describes a geometry-optimized Be2FeBPd structure. The functional is PBE. Values from VASP.

Calculated values
Fermi-level density of states: 3.1 states/eV per cell
Calculated formation energy: 1.438 eV per atom
Final energy: -4.12 eV/atom
Calculated volume: 79 Å³/cell
Magnetization: 3.0 μB per cell
Offset from the most stable computed form: 0.8792 eV/atom

```
&SYSTEM
  ibrav = 0, nat = 5, ntyp = 4
/
ATOMIC_SPECIES
Be 9.01 Be.upf
Fe 55.84 Fe.upf
B 10.81 B.upf
Pd 106.42 Pd.upf
ATOMIC_POSITIONS crystal
Be 0.000 0.500 0.000
Be 0.500 0.000 0.000
Fe 0.000 0.000 0.500
B 0.500 0.500 0.500
Pd 0.000 0.000 0.000
CELL_PARAMETERS angstrom
4.072 0.000 0.000
0.000 4.072 0.000
0.000 0.000 4.782
```

This record from the Alexandria database describes a geometry-optimized ErPuZn2Ge2 structure. The functional is PBE. Values from VASP.

Calculated values
Fermi-level density of states: 10.8 states/eV per cell
Calculated formation energy: -0.461 eV per atom
Final energy: -5.57 eV/atom
Calculated volume: 120 Å³/cell
Magnetization: 6.1 μB per cell

```
&SYSTEM
  ibrav = 0, nat = 6, ntyp = 4
/
ATOMIC_SPECIES
Er 167.26 Er.upf
Pu 244.00 Pu.upf
Zn 65.41 Zn.upf
Ge 72.64 Ge.upf
ATOMIC_POSITIONS crystal
Er 0.000 0.000 0.000
Pu 0.000 0.000 0.500
Zn 0.333 0.667 0.238
Zn 0.667 0.333 0.762
Ge 0.333 0.667 0.749
Ge 0.667 0.333 0.251
CELL_PARAMETERS angstrom
4.370 0.000 0.000
-2.185 3.784 0.000
0.000 0.000 7.277
```

This record from the Alexandria database describes a geometry-optimized VTcPd6 structure. The functional is PBE. Values from VASP.

Calculated values
Fermi-level density of states: 9.8 states/eV per cell
Calculated formation energy: -0.043 eV per atom
Final energy: -6.37 eV/atom
Calculated volume: 119 Å³/cell
Magnetization: 0.0 μB per cell

```
&SYSTEM
  ibrav = 0, nat = 8, ntyp = 3
/
ATOMIC_SPECIES
V 50.94 V.upf
Tc 98.00 Tc.upf
Pd 106.42 Pd.upf
ATOMIC_POSITIONS crystal
V 0.000 0.000 0.000
Tc 0.500 0.162 0.162
Pd 0.000 0.490 0.998
Pd 0.000 0.496 0.496
Pd 0.000 0.998 0.490
Pd 0.500 0.157 0.667
Pd 0.500 0.661 0.661
Pd 0.500 0.667 0.157
CELL_PARAMETERS angstrom
4.448 0.000 0.000
0.000 2.757 4.861
0.000 -2.757 4.861
```

This record from the Alexandria database describes a geometry-optimized CsNb2Ru structure. The functional is PBE. Values from VASP.

Calculated values
Fermi-level density of states: 6.0 states/eV per cell
Calculated formation energy: 1.391 eV per atom
Final energy: -6.18 eV/atom
Calculated volume: 78 Å³/cell
Magnetization: 0.0 μB per cell
Offset from the most stable computed form: 0.0000 eV/atom

```
&SYSTEM
  ibrav = 0, nat = 4, ntyp = 3
/
ATOMIC_SPECIES
Cs 132.91 Cs.upf
Nb 92.91 Nb.upf
Ru 101.07 Ru.upf
ATOMIC_POSITIONS crystal
Cs 0.000 0.000 0.000
Nb 0.250 0.250 0.250
Nb 0.750 0.750 0.750
Ru 0.500 0.500 0.500
CELL_PARAMETERS angstrom
0.000 3.388 3.388
3.388 0.000 3.388
3.388 3.388 0.000
```

This record from the Alexandria database describes a geometry-optimized SrCrCo2 structure. The functional is PBE. Values from VASP.

Calculated values
Fermi-level density of states: 3.3 states/eV per cell
Calculated formation energy: 0.500 eV per atom
Final energy: -5.88 eV/atom
Calculated volume: 63 Å³/cell
Magnetization: 0.0 μB per cell
Offset from the most stable computed form: 0.1803 eV/atom

```
&SYSTEM
  ibrav = 0, nat = 4, ntyp = 3
/
ATOMIC_SPECIES
Sr 87.62 Sr.upf
Cr 52.00 Cr.upf
Co 58.93 Co.upf
ATOMIC_POSITIONS crystal
Sr 0.000 0.000 0.000
Cr 0.000 0.000 0.500
Co 0.500 0.500 0.330
Co 0.500 0.500 0.670
CELL_PARAMETERS angstrom
2.950 0.000 0.000
0.000 2.950 0.000
0.000 0.000 7.233
```

This record from the Alexandria database describes a geometry-optimized TbTmZr2P4 structure. The functional is PBE. Values from VASP.

Calculated values
Fermi-level density of states: 4.0 states/eV per cell
Calculated formation energy: -1.479 eV per atom
Final energy: -7.46 eV/atom
Calculated volume: 162 Å³/cell
Magnetization: 0.0 μB per cell

```
&SYSTEM
  ibrav = 0, nat = 8, ntyp = 4
/
ATOMIC_SPECIES
Tb 158.93 Tb.upf
Tm 168.93 Tm.upf
Zr 91.22 Zr.upf
P 30.97 P.upf
ATOMIC_POSITIONS crystal
Tb 0.000 0.000 0.000
Tm 0.500 0.500 0.000
Zr 0.000 0.500 0.500
Zr 0.500 0.000 0.500
P 0.248 0.000 0.738
P 0.257 0.500 0.264
P 0.743 0.500 0.736
P 0.752 0.000 0.262
CELL_PARAMETERS angstrom
6.651 0.000 0.000
0.000 3.836 0.000
-2.223 0.000 6.354
```

Look up the final energy of the second one. -6.46 eV/atom